A plane-wave DFT calculation with PBE-GGA was carried out for a relaxed structure of TbPm2ErBi4.

Values from the calculation:
As for the space group: P2/m (10). The calculation puts the density of states at the Fermi level at 1.23 states/eV/f.u. For the total magnetization, the calculation gives 0.00 μB/f.u. The calculation puts the formation energy at -0.89 eV per atom. As for the total energy: -5.17 eV per atom.

Cell: 4.529 7.839 7.834 Å, 109.49 90.00 90.00°
Positions (direct):
Tb 0.000 0.000 0.000
Bi 0.500 0.751 0.757
Bi 0.000 0.746 0.242
Bi 0.500 0.249 0.243
Bi 0.000 0.254 0.758
Er 0.500 0.500 0.000
Pm 0.500 0.000 0.500
Pm 0.000 0.500 0.500